Here is crystalline CdCoO2F at its relaxed geometry from Alexandria. Energies are from PBE+U.

abc: 4.1635 4.1635 4.2426
angles: 90.00 90.00 90.00
Site moments in Bohr magnetons follow the coordinates.
Fractional coordinates of all 5 atoms:
1 F 0.0000 0.0000 0.5000  0.02
2 Co 0.5000 0.5000 0.5000  2.72
3 O 0.0000 0.5000 0.0000  0.18
4 O 0.5000 0.0000 0.0000  0.18
5 Cd 0.0000 0.0000 0.0000  0.03

* E: -18.7 eV/cell
* DOS at the Fermi energy: 2.06 states/eV/f.u.
* magnetic moment: 3.269 Bohr magnetons per cell